Record 1
TbSm2Y6Ho3: relaxed, GGA-PBE.

Computed properties:
**ΔE_f**: 0.020 eV/atom
**Total energy**: -5.529 eV/atom
**N(E_F)**: 17.000 states/eV/f.u.
**Symmetry**: C2/m (12)
**M_tot**: 0.0 μB/f.u.

The structure in extended XYZ format:
```
12
Lattice="3.0919 -5.3499 0.0000 3.0919 5.3499 0.0000 -2.0505 0.0000 11.6362" Properties=species:S:1:pos:R:3 pbc="T T T"
Tb 0.0000 0.0000 0.0000
Sm 3.0919 1.7823 0.0000
Sm 3.0919 -1.7823 0.0000
Y 1.0354 1.7815 2.9315
Y 0.0029 0.0000 8.7027
Y 1.0354 -1.7815 2.9315
Y 3.0979 1.7815 8.7047
Y 4.1305 0.0000 2.9335
Y 3.0979 -1.7815 8.7047
Ho 2.0667 3.5676 5.8181
Ho 2.0667 0.0000 5.8181
Ho 2.0667 -3.5676 5.8181
```

Record 2
TbSmHoZn: relaxed, GGA-PBE.

Computed properties:
**Energy relative to the lowest polymorph listed for this composition**: 0 meV/atom
**ΔE_f**: -0.162 eV/atom
**Total energy**: -3.962 eV/atom
**N(E_F)**: 4.718 states/eV/f.u.
**Symmetry**: P4mm (99)
**M_tot**: 0.0 μB/f.u.

The structure in extended XYZ format:
```
4
Lattice="3.5801 0.0000 0.0000 0.0000 3.5801 0.0000 0.0000 0.0000 8.6605" Properties=species:S:1:pos:R:3 pbc="T T T"
Tb 0.0000 0.0000 0.0000
Sm 1.7901 1.7901 2.5729
Ho 0.0000 0.0000 5.1210
Zn 1.7901 1.7901 6.8585
```

Record 3
TbSmHoZn: relaxed, GGA-PBE.

Computed properties:
**Energy relative to the lowest polymorph listed for this composition**: 201 meV/atom
**ΔE_f**: 0.040 eV/atom
**Total energy**: -3.761 eV/atom
**N(E_F)**: 5.019 states/eV/f.u.
**Symmetry**: F-43m (216)
**M_tot**: 0.0 μB/f.u.

The structure in extended XYZ format:
```
4
Lattice="0.0000 3.7926 3.7926 3.7926 0.0000 3.7926 3.7926 3.7926 0.0000" Properties=species:S:1:pos:R:3 pbc="T T T"
Tb 0.0000 0.0000 0.0000
Sm 3.7926 3.7926 3.7926
Ho 1.8963 1.8963 1.8963
Zn 5.6889 5.6889 5.6889
```

Record 4
Tb2Sm3Ho6Zr: relaxed, GGA-PBE.

Computed properties:
**ΔE_f**: 0.044 eV/atom
**Total energy**: -4.909 eV/atom
**N(E_F)**: 15.057 states/eV/f.u.
**Symmetry**: C2/m (12)
**M_tot**: 0.0 μB/f.u.

The structure in extended XYZ format:
```
12
Lattice="3.0564 -5.2863 0.0000 3.0564 5.2863 0.0000 -2.0261 0.0000 11.4686" Properties=species:S:1:pos:R:3 pbc="T T T"
Tb 3.0564 3.5234 0.0000
Tb 3.0564 -3.5234 0.0000
Sm -1.0130 0.0000 5.7343
Sm 2.0433 1.7574 5.7343
Sm 2.0433 -1.7574 5.7343
Ho 0.0308 1.7261 8.6791
Ho 1.0642 0.0000 2.7863
Ho 0.0308 -1.7261 8.6791
Ho 4.0559 1.7261 2.7895
Ho 3.0225 0.0000 8.6823
Ho 4.0559 -1.7261 2.7895
Zr 3.0564 0.0000 0.0000
```

Record 5
SmHoTc4: relaxed, GGA-PBE.

Computed properties:
**ΔE_f**: -0.085 eV/atom
**Total energy**: -8.546 eV/atom
**N(E_F)**: 9.112 states/eV/f.u.
**Symmetry**: F-43m (216)
**M_tot**: 0.0 μB/f.u.

The structure in extended XYZ format:
```
6
Lattice="0.0000 3.8379 3.8379 3.8379 0.0000 3.8379 3.8379 3.8379 0.0000" Properties=species:S:1:pos:R:3 pbc="T T T"
Sm 0.0000 0.0000 0.0000
Ho 5.7568 5.7568 5.7568
Tc 2.8790 2.8790 2.8790
Tc 4.7968 4.7968 2.8790
Tc 4.7968 2.8790 4.7968
Tc 2.8790 4.7968 4.7968
```

Record 6
SmHo4Tc: relaxed, GGA-PBE.

Computed properties:
**ΔE_f**: -0.021 eV/atom
**Total energy**: -5.587 eV/atom
**N(E_F)**: 5.275 states/eV/f.u.
**Symmetry**: Pnma (62)
**M_tot**: 0.0 μB/f.u.

The structure in extended XYZ format:
```
24
Lattice="8.7909 0.0000 0.0000 0.0000 3.7323 0.0000 0.0000 0.0000 20.4668" Properties=species:S:1:pos:R:3 pbc="T T T"
Sm 1.9887 0.9331 3.8448
Sm 2.4068 2.7992 14.0782
Sm 6.3841 0.9331 6.3886
Sm 6.8022 2.7992 16.6220
Ho 0.0837 2.7992 11.5909
Ho 0.3379 2.7992 6.0059
Ho 1.1637 2.7992 0.8967
Ho 1.3138 2.7992 17.5738
Ho 3.0816 0.9331 7.3404
Ho 3.2317 0.9331 11.1301
Ho 4.0576 0.9331 16.2393
Ho 4.3118 0.9331 1.3576
Ho 4.4791 2.7992 19.1092
Ho 4.7333 2.7992 4.2275
Ho 5.5592 2.7992 9.3367
Ho 5.7093 2.7992 13.1263
Ho 7.4771 0.9331 2.8930
Ho 7.6272 0.9331 19.5701
Ho 8.4530 0.9331 14.4608
Ho 8.7072 0.9331 8.8758
Tc 2.1017 2.7992 9.3094
Tc 2.2937 0.9331 19.5428
Tc 6.4972 2.7992 0.9240
Tc 6.6892 0.9331 11.1573
```

Q: The highest ΔE_f belongs to which entry?
A: Tb2Sm3Ho6Zr